[1]
Computed, not measured: a relaxed Pu2GaC crystal at the PBE level of DFT.

Properties
As for the density of states at the Fermi level: 14.4 states/eV/cell. The symmetry is R-3m, No. 166. The calculation puts the volume at 20.32 A^3/atom. The total moment comes out at 10.67 μB/f.u. The formation enthalpy at 0 K is -0.0272 eV per atom.

```
Pu2GaC
1.0
1.695 0.979 8.163
-1.695 0.979 8.163
0.000 -1.958 8.163
Pu Ga C
2 1 1
Cartesian
0.000 0.000 5.547
0.000 0.000 18.942
0.000 0.000 0.000
0.000 0.000 12.245
```

=====

[2]
Computed, not measured: a relaxed BeSiRu2Pb crystal at the PBE level of DFT.

Properties
As for the density of states at the Fermi level: 4.3 states/eV/cell. The symmetry is P4/mmm, No. 123. The calculation puts the volume at 21.98 A^3/atom. The total moment comes out at 2.53 μB/f.u. For the calculated total energy, the calculation gives -21.6 eV/cell.

```
BeSiRu2Pb
1.0
5.050 0.000 0.000
0.000 5.050 0.000
0.000 0.000 4.309
Be Si Ru Pb
1 1 2 1
Cartesian
0.000 0.000 0.000
2.525 2.525 0.000
0.000 2.525 2.155
2.525 0.000 2.155
0.000 0.000 2.155
```

=====

[3]
Computed, not measured: a relaxed BaNd2CuO5 crystal at the PBE level of DFT.

Properties
The energy above the most stable polymorph in this dataset is 0.000 eV per atom. The symmetry is P4/mbm, No. 127. The calculation puts the volume at 14.95 A^3/atom. The total moment comes out at 1.00 μB/f.u.

```
BaNd2CuO5
1.0
6.765 0.000 0.000
0.000 6.765 0.000
0.000 0.000 5.882
Ba Nd Cu O
2 4 2 10
Cartesian
0.000 0.000 0.000
3.382 3.382 0.000
1.171 2.211 2.941
2.211 5.593 2.941
4.554 1.171 2.941
5.593 4.554 2.941
0.000 3.382 0.000
3.382 0.000 0.000
0.000 0.000 2.941
0.940 4.322 1.431
0.940 4.322 4.451
2.443 0.940 1.431
2.443 0.940 4.451
3.382 3.382 2.941
4.322 5.825 1.431
4.322 5.825 4.451
5.825 2.443 1.431
5.825 2.443 4.451
```

=====

[4]
Computed, not measured: a relaxed HRu crystal at the PBE level of DFT.

Properties
As for the density of states at the Fermi level: 4.3 states/eV/cell. The symmetry is P6_3mc, No. 186. The calculation puts the volume at 8.70 A^3/atom. The total moment comes out at 0.00 μB/f.u. For the calculated total energy, the calculation gives -24.2 eV/cell.

```
HRu
1.0
2.940 0.000 0.000
-1.470 2.546 0.000
0.000 0.000 4.647
H Ru
2 2
Cartesian
0.000 1.697 0.000
1.470 0.849 2.324
0.000 1.697 1.798
1.470 0.849 4.122
```

=====

[5]
Computed, not measured: a relaxed AcInGa2Pd4 crystal at the PBE level of DFT.

Properties
As for the density of states at the Fermi level: 4.1 states/eV/cell. The symmetry is R-3m, No. 166. The calculation puts the volume at 19.74 A^3/atom. The total moment comes out at 0.00 μB/f.u. The formation enthalpy at 0 K is -0.6434 eV per atom.

```
AcInGa2Pd4
1.0
2.185 1.262 9.546
-2.185 1.262 9.546
0.000 -2.523 9.546
Ac In Ga Pd
1 1 2 4
Cartesian
0.000 0.000 0.000
0.000 0.000 14.319
0.000 0.000 6.956
0.000 0.000 21.681
0.000 0.000 3.514
0.000 0.000 11.535
0.000 0.000 17.102
0.000 0.000 25.123
```

=====

[6]
Computed, not measured: a relaxed AlPt2Pb2 crystal at the PBE level of DFT.

Properties
As for the density of states at the Fermi level: 4.4 states/eV/cell. The symmetry is P4/mbm, No. 127. The calculation puts the volume at 21.68 A^3/atom. The total moment comes out at 0.00 μB/f.u. The formation enthalpy at 0 K is -0.2244 eV per atom.

```
AlPt2Pb2
1.0
6.622 0.000 0.000
0.000 6.622 0.000
0.000 0.000 4.945
Al Pt Pb
2 4 4
Cartesian
0.000 0.000 0.000
3.311 3.311 0.000
0.979 2.332 0.000
2.332 5.643 0.000
4.290 0.979 0.000
5.643 4.290 0.000
1.156 4.467 2.473
2.155 1.156 2.473
4.467 5.466 2.473
5.466 2.155 2.473
```

=====

[7]
Computed, not measured: a relaxed SmTmC crystal at the PBE level of DFT.

Properties
As for the density of states at the Fermi level: 2.5 states/eV/cell. The energy above the most stable polymorph in this dataset is 0.445 eV per atom. The symmetry is R3m, No. 160. The calculation puts the volume at 28.48 A^3/atom. The total moment comes out at 0.00 μB/f.u. The formation enthalpy at 0 K is 0.2129 eV per atom.

```
SmTmC
1.0
1.903 1.099 6.808
-1.903 1.099 6.808
0.000 -2.198 6.808
Sm Tm C
1 1 1
Cartesian
0.000 0.000 0.000
0.000 0.000 16.528
0.000 0.000 2.213
```

=====

[8]
Computed, not measured: a relaxed TlAgSb2 crystal at the PBE level of DFT.

Properties
As for the density of states at the Fermi level: 2.9 states/eV/cell. The symmetry is P4/mmm, No. 123. The calculation puts the volume at 26.62 A^3/atom. The total moment comes out at 0.00 μB/f.u. For the calculated total energy, the calculation gives -12.6 eV/cell.

```
TlAgSb2
1.0
4.478 0.000 0.000
0.000 4.478 0.000
0.000 0.000 5.310
Tl Ag Sb
1 1 2
Cartesian
0.000 0.000 0.000
2.239 2.239 0.000
0.000 2.239 2.655
2.239 0.000 2.655
```

=====

[9]
Computed, not measured: a relaxed La4RhSeBr2 crystal at the PBE level of DFT.

Properties
As for the density of states at the Fermi level: 6.4 states/eV/cell. The symmetry is P2/m, No. 10. The calculation puts the volume at 29.49 A^3/atom. The total moment comes out at 0.00 μB/f.u. For the calculated total energy, the calculation gives -44.9 eV/cell.

```
La4RhSeBr2
1.0
7.707 0.000 0.000
0.000 4.142 0.000
-2.365 0.000 7.391
La Rh Se Br
4 1 1 2
Cartesian
1.180 0.000 1.543
0.136 2.071 5.726
5.205 2.071 1.665
4.161 0.000 5.848
0.000 2.071 0.000
3.853 0.000 0.000
-1.183 0.000 3.696
2.671 2.071 3.696
```

=====

[10]
Computed, not measured: a relaxed TaAs2P crystal at the PBE level of DFT.

Properties
As for the density of states at the Fermi level: 1.3 states/eV/cell. The symmetry is Cm, No. 8. The calculation puts the volume at 20.38 A^3/atom. The total moment comes out at 0.00 μB/f.u. The formation enthalpy at 0 K is -0.0968 eV per atom.

```
TaAs2P
1.0
4.256 -1.710 0.000
4.256 1.710 0.000
-0.122 0.000 5.601
Ta As P
1 2 1
Cartesian
0.000 0.000 0.000
2.559 0.000 4.087
4.207 0.000 2.000
6.053 0.000 0.392
```

=====

[11]
Computed, not measured: a relaxed ZrCr2Cl crystal at the PBE level of DFT.

Properties
As for the density of states at the Fermi level: 2.3 states/eV/cell. The energy above the most stable polymorph in this dataset is 0.402 eV per atom. The symmetry is P4/mmm, No. 123. The calculation puts the volume at 18.85 A^3/atom. The total moment comes out at 6.97 μB/f.u.

```
ZrCr2Cl
1.0
3.100 0.000 0.000
0.000 3.100 0.000
0.000 0.000 7.849
Zr Cr Cl
1 2 1
Cartesian
0.000 0.000 0.000
1.550 1.550 2.018
1.550 1.550 5.832
0.000 0.000 3.925
```

=====

[12]
Computed, not measured: a relaxed Rb2TiZnS4 crystal at the PBE level of DFT.

Properties
As for the density of states at the Fermi level: 0.0 states/eV/cell. The symmetry is I-4, No. 82. The calculation puts the volume at 29.08 A^3/atom. The total moment comes out at 0.00 μB/f.u. For the calculated total energy, the calculation gives -37.0 eV/cell.

```
Rb2TiZnS4
1.0
-3.550 3.550 4.615
3.550 -3.550 4.615
3.550 3.550 -4.615
Rb Ti Zn S
2 1 1 4
Cartesian
0.000 0.000 0.000
0.000 3.550 2.307
3.550 0.000 2.307
0.000 0.000 4.615
1.704 2.605 -1.125
4.496 1.704 1.125
1.846 0.945 3.489
-0.945 1.846 5.740
```

=====

[13]
Computed, not measured: a relaxed ScNi2Te crystal at the PBE level of DFT.

Properties
As for the density of states at the Fermi level: 2.1 states/eV/cell. The symmetry is I-42d, No. 122. The calculation puts the volume at 17.92 A^3/atom. The total moment comes out at 0.00 μB/f.u. For the calculated total energy, the calculation gives -43.4 eV/cell.

```
ScNi2Te
1.0
-2.041 2.041 8.607
2.041 -2.041 8.607
2.041 2.041 -8.607
Sc Ni Te
2 4 2
Cartesian
0.000 0.000 0.000
0.000 2.041 4.303
1.020 -0.954 6.455
1.087 1.020 2.152
1.020 2.994 -2.152
0.954 1.020 10.758
2.041 0.000 4.303
0.000 0.000 8.607
```

=====

[14]
Computed, not measured: a relaxed Na3Cu2Sb3 crystal at the PBE level of DFT.

Properties
As for the density of states at the Fermi level: 6.3 states/eV/cell. The energy above the most stable polymorph in this dataset is 0.000 eV per atom. The symmetry is Cmcm, No. 63. The calculation puts the volume at 23.86 A^3/atom. The total moment comes out at 0.00 μB/f.u.

```
Na3Cu2Sb3
1.0
2.245 -5.614 0.000
2.245 5.614 0.000
0.000 0.000 15.145
Na Cu Sb
6 4 6
Cartesian
2.245 4.737 9.383
2.245 4.737 13.335
2.245 1.357 11.359
2.245 -1.357 3.786
2.245 -4.737 1.810
2.245 -4.737 5.762
2.245 3.237 1.501
2.245 3.237 6.072
2.245 -3.237 9.074
2.245 -3.237 13.645
2.245 1.973 3.786
2.245 1.373 8.095
2.245 1.373 14.623
2.245 -1.373 0.523
2.245 -1.373 7.050
2.245 -1.973 11.359
```

=====

[15]
Computed, not measured: a relaxed CdRe2Pb crystal at the PBE level of DFT.

Properties
As for the density of states at the Fermi level: 5.1 states/eV/cell. The energy above the most stable polymorph in this dataset is 0.891 eV per atom. The symmetry is Cmmm, No. 65. The calculation puts the volume at 18.55 A^3/atom. The total moment comes out at 0.00 μB/f.u. The formation enthalpy at 0 K is 1.2281 eV per atom.

```
CdRe2Pb
1.0
2.801 -4.420 0.000
2.801 4.420 0.000
0.000 0.000 2.997
Cd Re Pb
1 2 1
Cartesian
0.000 0.000 0.000
1.400 2.210 1.499
1.400 -2.210 1.499
2.801 0.000 0.000
```

=====

[16]
Computed, not measured: a relaxed Cd4Ag6Au crystal at the PBE level of DFT.

Properties
As for the density of states at the Fermi level: 3.5 states/eV/cell. The symmetry is I-42m, No. 121. The calculation puts the volume at 20.70 A^3/atom. The total moment comes out at 0.00 μB/f.u. The formation enthalpy at 0 K is 0.0555 eV per atom.

```
Cd4Ag6Au
1.0
-2.813 2.813 7.193
2.813 -2.813 7.193
2.813 2.813 -7.193
Cd Ag Au
4 6 1
Cartesian
1.707 1.707 -2.408
1.106 -1.106 9.602
1.106 1.106 4.785
-1.106 1.106 9.602
2.813 0.000 0.000
1.777 -1.777 5.241
1.036 1.036 1.952
0.000 2.813 0.000
-1.777 1.777 5.241
1.777 1.777 9.146
0.000 0.000 7.193
```

=====

[17]
Computed, not measured: a relaxed Ba3Na3Ge8 crystal at the PBE level of DFT.

Properties
As for the density of states at the Fermi level: 5.5 states/eV/cell. The symmetry is Immm, No. 71. The calculation puts the volume at 27.15 A^3/atom. The total moment comes out at 0.28 μB/f.u. The formation enthalpy at 0 K is -0.2860 eV per atom.

```
Ba3Na3Ge8
1.0
-2.139 5.905 7.524
2.139 -5.905 7.524
2.139 5.905 -7.524
Ba Na Ge
3 3 8
Cartesian
0.000 0.000 0.000
0.000 0.000 4.282
0.000 0.000 10.765
2.139 3.544 0.000
0.000 5.905 0.000
0.000 2.361 7.524
0.000 7.777 5.134
2.139 -1.872 2.390
2.139 -2.490 5.062
2.139 1.872 2.390
0.000 3.415 2.462
2.139 2.490 5.062
0.000 4.033 5.134
0.000 8.395 2.462
```

=====

[18]
Computed, not measured: a relaxed Zn2WBr crystal at the PBE level of DFT.

Properties
As for the density of states at the Fermi level: 2.1 states/eV/cell. The energy above the most stable polymorph in this dataset is 0.049 eV per atom. The symmetry is P4/mmm, No. 123. The calculation puts the volume at 19.45 A^3/atom. The total moment comes out at 0.00 μB/f.u.

```
Zn2WBr
1.0
2.851 0.000 0.000
0.000 2.851 0.000
0.000 0.000 9.573
Zn W Br
2 1 1
Cartesian
0.000 0.000 1.864
0.000 0.000 7.709
1.425 1.425 0.000
1.425 1.425 4.787
```

=====

[19]
Computed, not measured: a relaxed Ho2Er2Th15 crystal at the PBE level of DFT.

Properties
As for the density of states at the Fermi level: 37.6 states/eV/cell. The symmetry is R-3m, No. 166. The calculation puts the volume at 34.04 A^3/atom. The total moment comes out at 0.00 μB/f.u. The formation enthalpy at 0 K is 0.2994 eV per atom.

```
Ho2Er2Th15
1.0
5.680 3.280 5.787
-5.680 3.280 5.787
0.000 -6.559 5.787
Ho Er Th
2 2 15
Cartesian
0.000 0.000 3.283
0.000 0.000 14.077
0.000 0.000 6.991
0.000 0.000 10.369
-2.840 -1.640 5.787
0.000 -3.368 5.416
-2.917 1.684 5.416
-1.704 -2.952 8.680
-3.408 0.000 8.680
-2.917 -1.684 11.944
-2.840 1.640 11.573
1.704 -2.952 8.680
0.000 3.280 5.787
-1.704 2.952 8.680
2.917 1.684 5.416
3.408 0.000 8.680
1.704 2.952 8.680
2.917 -1.684 11.944
0.000 3.368 11.944
```

=====

[20]
Computed, not measured: a relaxed NpPt2O8 crystal at the PBE level of DFT.

Properties
As for the density of states at the Fermi level: 4.6 states/eV/cell. The symmetry is C2/m, No. 12. The calculation puts the volume at 15.28 A^3/atom. The total moment comes out at 0.00 μB/f.u. For the calculated total energy, the calculation gives -74.4 eV/cell.

```
NpPt2O8
1.0
6.284 -3.651 0.000
6.284 3.651 0.000
-0.550 0.000 3.664
Np Pt O
1 2 8
Cartesian
0.000 0.000 0.000
4.284 0.000 2.995
7.734 0.000 0.669
0.841 0.000 2.480
4.660 1.824 3.006
3.963 0.000 1.056
7.358 1.824 0.659
4.660 -1.824 3.006
8.055 0.000 2.608
7.358 -1.824 0.659
11.177 0.000 1.184
```